# 1
BaYF5: relaxed, PBEsol.

## Properties
DFT total energy = -6.6705 eV/atom
uncorrected formation energy = -387.1 kJ per mole of atoms
spin magnetization = 0.060 μB per formula unit

Cell and atoms, written as CIF:
```
data_BaYF5
_cell_length_a 5.337
_cell_length_b 5.483
_cell_length_c 15.169
_cell_angle_alpha 90.00
_cell_angle_beta 90.00
_cell_angle_gamma 90.00
_symmetry_space_group_name_H-M 'P 21 21 21'
_symmetry_Int_Tables_number 19
loop_
_symmetry_equiv_pos_as_xyz
'x,y,z'
'-x+1/2,-y,z+1/2'
'x+1/2,-y+1/2,-z'
'-x,y+1/2,-z+1/2'
loop_
_atom_site_label
_atom_site_type_symbol
_atom_site_fract_x
_atom_site_fract_y
_atom_site_fract_z
Ba1 Ba 0.006 0.042 0.395
Y1 Y 0.020 0.956 0.672
F1 F 0.011 0.103 0.890
F2 F 0.132 0.045 0.100
F3 F 0.137 0.618 0.944
F4 F 0.243 0.727 0.767
F5 F 0.245 0.243 0.741
```

# 2
Ba3YF: relaxed, PBEsol.

## Properties
DFT total energy = -3.9795 eV/atom
uncorrected formation energy = -90.7 kJ per mole of atoms
spin magnetization = 0.000 μB per formula unit

Cell and atoms, written as CIF:
```
data_Ba3YF
_cell_length_a 5.642
_cell_length_b 5.642
_cell_length_c 5.642
_cell_angle_alpha 90.00
_cell_angle_beta 90.00
_cell_angle_gamma 90.00
_symmetry_space_group_name_H-M 'P m -3 m'
_symmetry_Int_Tables_number 221
_symmetry_space_group_name_Hall '-P 4 2 3'
loop_
_atom_site_label
_atom_site_type_symbol
_atom_site_fract_x
_atom_site_fract_y
_atom_site_fract_z
Ba1 Ba 0.000 0.000 0.500
Y1 Y 0.500 0.500 0.500
F1 F 0.000 0.000 0.000
```

# 3
BaYF5: relaxed, PBEsol.

## Properties
DFT total energy = -6.6370 eV/atom
uncorrected formation energy = -383.9 kJ per mole of atoms
spin magnetization = 0.090 μB per formula unit

Cell and atoms, written as CIF:
```
data_BaYF5
_cell_length_a 10.209
_cell_length_b 7.374
_cell_length_c 8.572
_cell_angle_alpha 90.00
_cell_angle_beta 114.97
_cell_angle_gamma 90.00
_symmetry_space_group_name_H-M 'C 1 2/c 1'
_symmetry_Int_Tables_number 15
loop_
_symmetry_equiv_pos_as_xyz
'x,y,z'
'-x,-y,-z'
'-x,y,-z+1/2'
'x,-y,z+1/2'
'x+1/2,y+1/2,z'
'-x+1/2,-y+1/2,-z'
'-x+1/2,y+1/2,-z+1/2'
'x+1/2,-y+1/2,z+1/2'
loop_
_atom_site_label
_atom_site_type_symbol
_atom_site_fract_x
_atom_site_fract_y
_atom_site_fract_z
Ba1 Ba 0.000 0.042 0.250
Y1 Y 0.000 0.500 0.000
F1 F 0.000 0.425 0.250
F2 F 0.008 0.208 0.973
F3 F 0.228 0.484 0.617
```

# 4
BaYF5: relaxed, PBEsol.

## Properties
DFT total energy = -6.6869 eV/atom
uncorrected formation energy = -388.7 kJ per mole of atoms
spin magnetization = 0.060 μB per formula unit

Cell and atoms, written as CIF:
```
data_BaYF5
_cell_length_a 5.802
_cell_length_b 8.912
_cell_length_c 8.065
_cell_angle_alpha 90.00
_cell_angle_beta 90.03
_cell_angle_gamma 90.00
_symmetry_space_group_name_H-M 'P 1 21 1'
_symmetry_Int_Tables_number 4
loop_
_symmetry_equiv_pos_as_xyz
'x,y,z'
'-x,y+1/2,-z'
loop_
_atom_site_label
_atom_site_type_symbol
_atom_site_fract_x
_atom_site_fract_y
_atom_site_fract_z
Ba1 Ba 0.008 0.000 0.390
Ba2 Ba 0.489 0.842 0.883
Y1 Y 0.001 0.634 0.100
Y2 Y 0.499 0.211 0.602
F1 F 0.020 0.373 0.059
F2 F 0.194 0.753 0.538
F3 F 0.210 0.610 0.884
F4 F 0.230 0.039 0.693
F5 F 0.237 0.303 0.779
F6 F 0.260 0.542 0.280
F7 F 0.269 0.805 0.192
F8 F 0.283 0.235 0.388
F9 F 0.314 0.092 0.032
F10 F 0.482 0.471 0.558
```

# 5
Ba3Y2F12: relaxed, PBEsol.

## Properties
DFT total energy = -6.5115 eV/atom
uncorrected formation energy = -383.0 kJ per mole of atoms
spin magnetization = 0.158 μB per formula unit

Cell and atoms, written as CIF:
```
data_Ba3Y2F12
_cell_length_a 9.819
_cell_length_b 10.811
_cell_length_c 14.319
_cell_angle_alpha 90.00
_cell_angle_beta 131.42
_cell_angle_gamma 90.00
_symmetry_space_group_name_H-M 'P 1 21/c 1'
_symmetry_Int_Tables_number 14
loop_
_symmetry_equiv_pos_as_xyz
'x,y,z'
'-x,-y,-z'
'-x,y+1/2,-z+1/2'
'x,-y+1/2,z+1/2'
loop_
_atom_site_label
_atom_site_type_symbol
_atom_site_fract_x
_atom_site_fract_y
_atom_site_fract_z
Ba1 Ba 0.114 0.119 0.462
Ba2 Ba 0.180 0.008 0.193
Ba3 Ba 0.216 0.747 0.936
Y1 Y 0.291 0.130 0.835
Y2 Y 0.447 0.693 0.286
F1 F 0.088 0.103 0.637
F2 F 0.094 0.624 0.513
F3 F 0.120 0.213 0.286
F4 F 0.154 0.507 0.351
F5 F 0.189 0.748 0.736
F6 F 0.234 0.527 0.892
F7 F 0.238 0.606 0.105
F8 F 0.262 0.170 0.084
F9 F 0.458 0.234 0.322
F10 F 0.469 0.503 0.354
F11 F 0.480 0.205 0.024
F12 F 0.497 0.113 0.678
```

# 6
BaZnF4: relaxed, PBEsol.

## Properties
DFT total energy = -5.0148 eV/atom
uncorrected formation energy = -299.9 kJ per mole of atoms
spin magnetization = 0.000 μB per formula unit

Cell and atoms, written as CIF:
```
data_BaZnF4
_cell_length_a 4.189
_cell_length_b 14.536
_cell_length_c 5.848
_cell_angle_alpha 90.00
_cell_angle_beta 90.00
_cell_angle_gamma 90.00
_symmetry_space_group_name_H-M 'C m c 21'
_symmetry_Int_Tables_number 36
loop_
_symmetry_equiv_pos_as_xyz
'x,y,z'
'-x,-y,z+1/2'
'-x,y,z'
'x,-y,z+1/2'
'x+1/2,y+1/2,z'
'-x+1/2,-y+1/2,z+1/2'
'-x+1/2,y+1/2,z'
'x+1/2,-y+1/2,z+1/2'
loop_
_atom_site_label
_atom_site_type_symbol
_atom_site_fract_x
_atom_site_fract_y
_atom_site_fract_z
Ba1 Ba 0.000 0.148 0.000
Zn1 Zn 0.000 0.413 0.042
F1 F 0.000 0.076 0.557
F2 F 0.000 0.301 0.241
F3 F 0.000 0.332 0.771
F4 F 0.000 0.469 0.372
```

# 7
Ba3ZrF10: relaxed, PBEsol.

## Properties
DFT total energy = -6.3863 eV/atom
uncorrected formation energy = -376.3 kJ per mole of atoms
spin magnetization = 0.001 μB per formula unit

Cell and atoms, written as CIF:
```
data_Ba3ZrF10
_cell_length_a 10.960
_cell_length_b 13.250
_cell_length_c 6.071
_cell_angle_alpha 90.00
_cell_angle_beta 90.00
_cell_angle_gamma 90.00
_symmetry_space_group_name_H-M 'C m c m'
_symmetry_Int_Tables_number 63
_symmetry_space_group_name_Hall '-C 2c 2'
loop_
_atom_site_label
_atom_site_type_symbol
_atom_site_fract_x
_atom_site_fract_y
_atom_site_fract_z
Ba1 Ba 0.000 0.111 0.250
Ba2 Ba 0.214 0.388 0.250
Zr1 Zr 0.000 0.320 0.750
F1 F 0.000 0.398 0.042
F2 F 0.117 0.231 0.539
F3 F 0.139 0.000 0.000
F4 F 0.162 0.406 0.750
```

# 8
BaZr2F10: relaxed, PBEsol.

## Properties
DFT total energy = -6.8735 eV/atom
uncorrected formation energy = -369.3 kJ per mole of atoms
spin magnetization = 0.104 μB per formula unit

Cell and atoms, written as CIF:
```
data_BaZr2F10
_cell_length_a 6.067
_cell_length_b 15.643
_cell_length_c 8.742
_cell_angle_alpha 90.00
_cell_angle_beta 106.58
_cell_angle_gamma 90.00
_symmetry_space_group_name_H-M 'C 1 2/c 1'
_symmetry_Int_Tables_number 15
loop_
_symmetry_equiv_pos_as_xyz
'x,y,z'
'-x,-y,-z'
'-x,y,-z+1/2'
'x,-y,z+1/2'
'x+1/2,y+1/2,z'
'-x+1/2,-y+1/2,-z'
'-x+1/2,y+1/2,-z+1/2'
'x+1/2,-y+1/2,z+1/2'
loop_
_atom_site_label
_atom_site_type_symbol
_atom_site_fract_x
_atom_site_fract_y
_atom_site_fract_z
Ba1 Ba 0.000 0.069 0.250
Zr1 Zr 0.188 0.345 0.096
F1 F 0.000 0.200 0.750
F2 F 0.000 0.300 0.250
F3 F 0.111 0.362 0.565
F4 F 0.149 0.207 0.072
F5 F 0.189 0.056 0.001
F6 F 0.238 0.435 0.262
```